1.
LaCe2AlN (GGA-PBE, optimized geometry); E_form (uncorrected) = -0.731 eV per atom; energy = -32.52 eV per cell; total magnetization = 1.5 μB per cell; space-group type = P4/mmm
1.0
4.8663 0.0000 0.0000
0.0000 4.8663 0.0000
0.0000 0.0000 5.0952
La Ce Al N
1 2 1 1
direct
0.0000 0.0000 0.0000
0.0000 0.5000 0.5000
0.5000 0.0000 0.5000
0.5000 0.5000 0.0000
0.0000 0.0000 0.5000

2.
AlVRe2Ge (GGA-PBE, optimized geometry); energy = -35.36 eV per cell; DFT formation energy = 1.40 eV per atom; total magnetization = 0.0 μB per cell; space-group type = P4/mmm
1.0
4.5133 0.0000 0.0000
0.0000 4.5133 0.0000
0.0000 0.0000 4.6376
Al V Re Ge
1 1 2 1
direct
0.0000 0.0000 0.0000
0.0000 0.0000 0.5000
0.0000 0.5000 0.5000
0.5000 0.0000 0.5000
0.5000 0.5000 0.0000

3.
Ce3Nd2PaP6 (GGA-PBE, optimized geometry); energy = -87.13 eV per cell; DFT formation energy = -1.49 eV per atom; total magnetization = 1.9 μB per cell; space-group type = C2/m
1.0
3.5446 -6.1360 0.0000
3.5446 6.1360 0.0000
-2.3590 0.0000 6.6882
Ce Nd Pa P
3 2 1 6
direct
0.0000 0.0000 0.0000
0.3308 0.6692 0.0000
0.6692 0.3308 0.0000
0.1661 0.8339 0.5000
0.8339 0.1661 0.5000
0.5000 0.5000 0.5000
0.0958 0.4172 0.2511
0.2626 0.2626 0.7498
0.4172 0.0958 0.2511
0.5828 0.9042 0.7489
0.7374 0.7374 0.2502
0.9042 0.5828 0.7489

4.
CsH5I4 (GGA-PBE, optimized geometry); energy = -22.89 eV per cell; total magnetization = 0.0 μB per cell; space-group type = Immm
1.0
-3.2011 4.5307 4.8644
3.2011 -4.5307 4.8644
3.2011 4.5307 -4.8644
Cs H I
1 5 4
direct
0.0000 0.0000 0.0000
0.0005 0.2897 0.7108
0.9995 0.7103 0.2892
0.4211 0.7103 0.7108
0.5000 0.5000 0.0000
0.5789 0.2897 0.2892
0.2615 0.7615 0.5000
0.2865 0.5000 0.7865
0.7135 0.5000 0.2135
0.7385 0.2385 0.5000

5.
K2TbHfTe4 (GGA-PBE, optimized geometry); E_form (uncorrected) = -1.119 eV per atom; energy = -38.30 eV per cell; total magnetization = 0.0 μB per cell; space-group type = P2/m
1.0
7.5327 0.0000 0.0000
0.0000 4.3101 0.0000
-2.4675 0.0000 8.3112
K Tb Hf Te
2 1 1 4
direct
0.0000 0.0000 0.0000
0.5000 0.5000 0.0000
0.0000 0.5000 0.5000
0.5000 0.0000 0.5000
0.2503 0.0000 0.7087
0.2796 0.5000 0.2980
0.7204 0.5000 0.7020
0.7497 0.0000 0.2913

6.
CdCo2Si (GGA-PBE, optimized geometry); E_form (uncorrected) = 0.146 eV per atom; energy = -39.93 eV per cell; total magnetization = 2.7 μB per cell; space-group type = Cm
1.0
8.4535 0.0000 0.0000
0.0000 2.7975 0.0000
-0.9689 0.0000 4.7137
Cd Co Si
2 4 2
direct
0.0000 0.0000 0.0000
0.5000 0.5000 0.0000
0.2606 0.5000 0.2646
0.4937 0.0000 0.5102
0.7606 0.0000 0.2646
0.9937 0.5000 0.5102
0.2215 0.0000 0.6150
0.7215 0.5000 0.6150